A plane-wave DFT calculation with PBE was carried out for a geometry-optimized ScNi3Se structure.

Properties
ΔE_f (raw) ... 995 meV per atom
Total magnetic moment ... 0.00 μB/atom
Raw total energy ... -22.19 eV per formula unit
Space group ... Pm-3m
Energy relative to the lowest polymorph listed for this composition ... 0.9950 eV per atom
Calculated volume ... 17.9 Å³/atom
D(E_F) ... 0.608 states/eV/atom

Geometry as POSCAR:
```
ScNi3Se
1.0
4.4768 0.0000 0.0000
0.0000 4.4768 0.0000
0.0000 0.0000 4.4768
Ni Sc Se
3 1 1
Direct
0.0000 0.0000 0.5000
0.0000 0.5000 0.0000
0.5000 0.0000 0.0000
0.0000 0.0000 0.0000
0.5000 0.5000 0.5000
```